w) Here is HfBe3Te after structural relaxation from Alexandria via LeMat-Bulk. Energies are from GGA-PBE.

a b c (Å): 4.764 4.764 4.764
angles (deg): 90.00 90.00 90.00
Space group Pm-3m (No. 221)
One atom of each set of equivalent atoms:
Hf1 0.000 0.000 0.000
Be1 0.000 0.000 0.500
Te1 0.500 0.500 0.500

Calculated values
* spin magnetization: 0.0 μB/f.u.



x) Here is HfBe3Te after structural relaxation from Alexandria via LeMat-Bulk. Energies are from GGA-PBE.

a b c (Å): 4.549 4.549 4.549
angles (deg): 90.00 90.00 90.00
Space group Pm-3m (No. 221)
One atom of each set of equivalent atoms:
Hf1 0.000 0.000 0.000
Be1 0.000 0.500 0.500
Te1 0.500 0.500 0.500

Calculated values
* spin magnetization: 0.0 μB/f.u.



In terms of stability, x) leads; the second structure lies 0.220 eV/atom higher.



w) Here is HfTi3Be after structural relaxation from Alexandria via LeMat-Bulk. Energies are from GGA-PBE.

a b c (Å): 4.804 4.804 4.804
angles (deg): 90.00 90.00 90.00
Space group Pm-3m (No. 221)
One atom of each set of equivalent atoms:
Hf1 0.000 0.000 0.000
Ti1 0.000 0.000 0.500
Be1 0.500 0.500 0.500

Calculated values
* spin magnetization: 0.0 μB/f.u.



x) Here is HfTi3Be after structural relaxation from Alexandria via LeMat-Bulk. Energies are from GGA-PBE.

a b c (Å): 4.474 4.474 4.474
angles (deg): 90.00 90.00 90.00
Space group Pm-3m (No. 221)
One atom of each set of equivalent atoms:
Hf1 0.000 0.000 0.000
Ti1 0.000 0.500 0.500
Be1 0.500 0.500 0.500

Calculated values
* spin magnetization: 3.1 μB/f.u.



In terms of stability, x) leads; the second structure lies 1.132 eV/atom higher.



w) Here is HfBeTl3 after structural relaxation from Alexandria via LeMat-Bulk. Energies are from GGA-PBE.

a b c (Å): 4.925 4.925 4.925
angles (deg): 90.00 90.00 90.00
Space group Pm-3m (No. 221)
One atom of each set of equivalent atoms:
Hf1 0.000 0.000 0.000
Be1 0.500 0.500 0.500
Tl1 0.000 0.500 0.500

Calculated values
* spin magnetization: 0.0 μB/f.u.



x) Here is HfBeTl3 after structural relaxation from Alexandria via LeMat-Bulk. Energies are from GGA-PBE.

a b c (Å): 5.689 5.689 5.689
angles (deg): 90.00 90.00 90.00
Space group Pm-3m (No. 221)
One atom of each set of equivalent atoms:
Hf1 0.000 0.000 0.000
Be1 0.500 0.500 0.500
Tl1 0.000 0.000 0.500

Calculated values
* spin magnetization: 0.0 μB/f.u.



In terms of stability, w) leads; the second structure lies 0.419 eV/atom higher.



w) Here is HfBe2Tl after structural relaxation from Alexandria via LeMat-Bulk. Energies are from GGA-PBE.

a b c (Å): 4.216 4.216 16.663
angles (deg): 90.00 90.00 90.00
Space group I-42d (No. 122)
One atom of each set of equivalent atoms:
Hf1 0.000 0.000 0.000
Be1 0.037 0.250 0.625
Tl1 0.000 0.000 0.500

Calculated values
* spin magnetization: 0.0 μB/f.u.



x) Here is HfBe2Tl after structural relaxation from Alexandria via LeMat-Bulk. Energies are from GGA-PBE.

a b c (Å): 6.303 6.303 6.303
angles (deg): 90.00 90.00 90.00
Space group Fm-3m (No. 225)
One atom of each set of equivalent atoms:
Hf1 0.000 0.000 0.000
Be1 0.250 0.250 0.250
Tl1 0.000 0.000 0.500

Calculated values
* spin magnetization: 0.0 μB/f.u.



In terms of stability, x) leads; the second structure lies 0.285 eV/atom higher.



w) Here is TmHfBe2 after structural relaxation from Alexandria via LeMat-Bulk. Energies are from GGA-PBE.

a b c (Å): 6.462 6.462 6.462
angles (deg): 90.00 90.00 90.00
Space group Fm-3m (No. 225)
One atom of each set of equivalent atoms:
Tm1 0.000 0.000 0.000
Hf1 0.000 0.000 0.500
Be1 0.250 0.250 0.250

Calculated values
* spin magnetization: 0.0 μB/f.u.



x) Here is TmHfBe2 after structural relaxation from Alexandria via LeMat-Bulk. Energies are from GGA-PBE.

a b c (Å): 3.234 3.234 6.458
angles (deg): 90.00 90.00 90.00
Space group P4/mmm (No. 123)
One atom of each set of equivalent atoms:
Tm1 0.000 0.000 0.000
Hf1 0.000 0.000 0.500
Be1 0.500 0.500 0.282

Calculated values
* spin magnetization: 0.0 μB/f.u.



In terms of stability, x) leads; the second structure lies 0.072 eV/atom higher.



w) Here is HfBeV3 after structural relaxation from Alexandria via LeMat-Bulk. Energies are from GGA-PBE.

a b c (Å): 4.228 4.228 4.228
angles (deg): 90.00 90.00 90.00
Space group Pm-3m (No. 221)
One atom of each set of equivalent atoms:
Hf1 0.000 0.000 0.000
Be1 0.500 0.500 0.500
V1 0.000 0.500 0.500

Calculated values
* spin magnetization: 0.0 μB/f.u.



x) Here is HfBeV3 after structural relaxation from Alexandria via LeMat-Bulk. Energies are from GGA-PBE.

a b c (Å): 4.615 4.615 4.615
angles (deg): 90.00 90.00 90.00
Space group Pm-3m (No. 221)
One atom of each set of equivalent atoms:
Hf1 0.000 0.000 0.000
Be1 0.500 0.500 0.500
V1 0.000 0.000 0.500

Calculated values
* spin magnetization: 2.3 μB/f.u.



In terms of stability, w) leads; the second structure lies 1.431 eV/atom higher.



w) Here is HfBeV after structural relaxation from Alexandria via LeMat-Bulk. Energies are from GGA-PBE.

a b c (Å): 4.613 5.165 7.445
angles (deg): 90.00 90.00 90.00
Space group Imma (No. 74)
One atom of each set of equivalent atoms:
Hf1 0.000 0.250 0.113
Be1 0.000 0.000 0.500
V1 0.250 0.250 0.750

Calculated values
* spin magnetization: 0.0 μB/f.u.



x) Here is HfBeV after structural relaxation from Alexandria via LeMat-Bulk. Energies are from GGA-PBE.

a b c (Å): 3.9573 3.9573 3.4065
angles (deg): 90.00 90.00 120.00
Space group P-6m2 (No. 187)
One atom of each set of equivalent atoms:
Hf1 0.0000 0.0000 0.0000
Be1 0.6667 0.3333 0.5000
V1 0.3333 0.6667 0.5000

Calculated values
* spin magnetization: 0.9 μB/f.u.



In terms of stability, w) leads; the second structure lies 0.276 eV/atom higher.



w) Here is HfBe2V after structural relaxation from Alexandria via LeMat-Bulk. Energies are from GGA-PBE.

a b c (Å): 3.881 3.881 16.257
angles (deg): 90.00 90.00 90.00
Space group I-42d (No. 122)
One atom of each set of equivalent atoms:
Hf1 0.000 0.000 0.000
Be1 0.086 0.250 0.625
V1 0.000 0.000 0.500

Calculated values
* spin magnetization: 0.5 μB/f.u.



x) Here is HfBe2V after structural relaxation from Alexandria via LeMat-Bulk. Energies are from GGA-PBE.

a b c (Å): 5.944 5.944 5.944
angles (deg): 90.00 90.00 90.00
Space group Fm-3m (No. 225)
One atom of each set of equivalent atoms:
Hf1 0.000 0.000 0.000
Be1 0.250 0.250 0.250
V1 0.000 0.000 0.500

Calculated values
* spin magnetization: 1.1 μB/f.u.



y) Here is HfBe2V after structural relaxation from Alexandria via LeMat-Bulk. Energies are from GGA-PBE.

a b c (Å): 3.055 3.055 5.562
angles (deg): 90.00 90.00 90.00
Space group P4/mmm (No. 123)
One atom of each set of equivalent atoms:
Hf1 0.000 0.000 0.000
Be1 0.500 0.500 0.298
V1 0.000 0.000 0.500

Calculated values
* spin magnetization: 0.0 μB/f.u.



z) Here is HfBe2V after structural relaxation from Alexandria via LeMat-Bulk. Energies are from GGA-PBE.

a b c (Å): 3.913 3.913 3.455
angles (deg): 90.00 90.00 90.00
Space group P4/mmm (No. 123)
One atom of each set of equivalent atoms:
Hf1 0.000 0.000 0.000
Be1 0.000 0.500 0.500
V1 0.500 0.500 0.000

Calculated values
* spin magnetization: 0.0 μB/f.u.



In terms of stability, y) leads; the second structure lies 0.037 eV/atom higher.



w) Here is HfBe2V2 after structural relaxation from Alexandria via LeMat-Bulk. Energies are from GGA-PBE.

a b c (Å): 3.816 3.816 9.437
angles (deg): 90.00 90.00 90.00
Space group I4/mmm (No. 139)
One atom of each set of equivalent atoms:
Hf1 0.000 0.000 0.000
Be1 0.000 0.500 0.250
V1 0.000 0.000 0.380

Calculated values
* spin magnetization: 0.0 μB/f.u.



x) Here is HfBe2V2 after structural relaxation from Alexandria via LeMat-Bulk. Energies are from GGA-PBE.

a b c (Å): 6.660 6.660 2.973
angles (deg): 90.00 90.00 90.00
Space group P4/mbm (No. 127)
One atom of each set of equivalent atoms:
Hf1 0.000 0.000 0.000
Be1 0.112 0.388 0.000
V1 0.177 0.677 0.500

Calculated values
* spin magnetization: 0.0 μB/f.u.



In terms of stability, x) leads; the second structure lies 0.273 eV/atom higher.



w) Here is YHfBe2 after structural relaxation from Alexandria via LeMat-Bulk. Energies are from GGA-PBE.

a b c (Å): 3.270 3.270 6.502
angles (deg): 90.00 90.00 90.00
Space group P4/mmm (No. 123)
One atom of each set of equivalent atoms:
Y1 0.000 0.000 0.000
Hf1 0.000 0.000 0.500
Be1 0.500 0.500 0.290

Calculated values
* spin magnetization: 0.0 μB/f.u.



x) Here is YHfBe2 after structural relaxation from Alexandria via LeMat-Bulk. Energies are from GGA-PBE.

a b c (Å): 6.525 6.525 6.525
angles (deg): 90.00 90.00 90.00
Space group Fm-3m (No. 225)
One atom of each set of equivalent atoms:
Y1 0.000 0.000 0.000
Hf1 0.000 0.000 0.500
Be1 0.250 0.250 0.250

Calculated values
* spin magnetization: 0.0 μB/f.u.



y) Here is YHfBe2 after structural relaxation from Alexandria via LeMat-Bulk. Energies are from GGA-PBE.

a b c (Å): 7.028 7.028 6.413
angles (deg): 90.00 90.00 90.00
Space group I-42d (No. 122)
One atom of each set of equivalent atoms:
Y1 0.000 0.000 0.000
Hf1 0.000 0.000 0.500
Be1 0.230 0.250 0.625

Calculated values
* spin magnetization: 0.0 μB/f.u.



In terms of stability, w) leads; the second structure lies 0.087 eV/atom higher.



w) Here is YHf2Be2 after structural relaxation from Alexandria via LeMat-Bulk. Energies are from GGA-PBE.

a b c (Å): 4.343 4.343 10.631
angles (deg): 90.00 90.00 90.00
Space group I4/mmm (No. 139)
One atom of each set of equivalent atoms:
Y1 0.000 0.000 0.000
Hf1 0.000 0.000 0.356
Be1 0.000 0.500 0.250

Calculated values
* spin magnetization: 0.0 μB/f.u.



x) Here is YHf2Be2 after structural relaxation from Alexandria via LeMat-Bulk. Energies are from GGA-PBE.

a b c (Å): 7.690 7.690 3.154
angles (deg): 90.00 90.00 90.00
Space group P4/mbm (No. 127)
One atom of each set of equivalent atoms:
Y1 0.000 0.000 0.000
Hf1 0.149 0.351 0.500
Be1 0.153 0.653 0.000

Calculated values
* spin magnetization: 0.0 μB/f.u.



In terms of stability, x) leads; the second structure lies 0.249 eV/atom higher.



w) Here is Y3HfBe after structural relaxation from Alexandria via LeMat-Bulk. Energies are from GGA-PBE.

a b c (Å): 5.512 5.512 5.512
angles (deg): 90.00 90.00 90.00
Space group Pm-3m (No. 221)
One atom of each set of equivalent atoms:
Y1 0.000 0.000 0.500
Hf1 0.000 0.000 0.000
Be1 0.500 0.500 0.500

Calculated values
* spin magnetization: 0.0 μB/f.u.



x) Here is Y3HfBe after structural relaxation from Alexandria via LeMat-Bulk. Energies are from GGA-PBE.

a b c (Å): 5.199 5.199 5.199
angles (deg): 90.00 90.00 90.00
Space group Pm-3m (No. 221)
One atom of each set of equivalent atoms:
Y1 0.000 0.000 0.500
Hf1 0.500 0.500 0.500
Be1 0.000 0.000 0.000

Calculated values
* spin magnetization: 1.0 μB/f.u.



In terms of stability, x) leads; the second structure lies 0.616 eV/atom higher.